Entry from the Alexandria database: ThH5Ru after structural relaxation (GGA-PBE). Values from VASP.

## Properties
* space-group type: No. 71
* M_tot: 0.00 μB/f.u.
* final energy: -5.207 eV/atom
* ρ: 9.0 g/cm3

The structure in Quantum ESPRESSO input format:
```
&SYSTEM
  ibrav = 0, nat = 14, ntyp = 3
/
ATOMIC_SPECIES
H 1.01 H.upf
Th 232.04 Th.upf
Ru 101.07 Ru.upf
CELL_PARAMETERS angstrom
4.273 0.695 1.359
1.136 4.177 1.359
1.104 0.995 7.907
ATOMIC_POSITIONS crystal
H 0.442 0.902 0.414
H 0.098 0.558 0.086
H 0.000 0.000 0.250
H 0.000 0.000 0.750
H 0.558 0.098 0.586
H 0.901 0.442 0.414
H 0.558 0.099 0.086
H 0.442 0.901 0.914
H 0.099 0.558 0.586
H 0.902 0.442 0.914
Th 0.500 0.500 0.250
Th 0.500 0.500 0.750
Ru 0.000 0.000 0.000
Ru 0.000 0.000 0.500
```



Entry from the Alexandria database: PuUMo after structural relaxation (GGA-PBE). Values from VASP.

## Properties
* space-group type: No. 107
* M_tot: 4.79 μB/f.u.
* final energy: -12.035 eV/atom
* distance to the lowest polymorph of the same formula: 0.000 eV/f.u.
* ρ: 16.7 g/cm3

The structure in Quantum ESPRESSO input format:
```
&SYSTEM
  ibrav = 0, nat = 3, ntyp = 3
/
ATOMIC_SPECIES
Mo 95.94 Mo.upf
Pu 244.00 Pu.upf
U 238.03 U.upf
CELL_PARAMETERS angstrom
3.388 0.000 0.000
0.000 3.388 0.000
-1.694 -1.694 5.021
ATOMIC_POSITIONS crystal
Mo 0.006 0.006 0.011
Pu 0.325 0.325 0.649
U 0.670 0.670 0.340
```



Entry from the Alexandria database: LaIn3Cl after structural relaxation (GGA-PBE). Values from VASP.

## Properties
* space-group type: No. 221
* raw formation energy: -0.10 eV/atom
* M_tot: 0.00 μB/f.u.
* final energy: -3.101 eV/atom
* distance to the lowest polymorph of the same formula: 0.000 eV/f.u.
* ρ: 5.4 g/cm3

The structure in Quantum ESPRESSO input format:
```
&SYSTEM
  ibrav = 0, nat = 5, ntyp = 3
/
ATOMIC_SPECIES
In 114.82 In.upf
La 138.91 La.upf
Cl 35.45 Cl.upf
CELL_PARAMETERS angstrom
5.430 0.000 0.000
0.000 5.430 0.000
0.000 0.000 5.430
ATOMIC_POSITIONS crystal
In 0.000 0.500 0.000
In 0.500 0.000 0.000
In 0.000 0.000 0.500
La 0.500 0.500 0.500
Cl 0.000 0.000 0.000
```



Entry from the Alexandria database: TlCoHCl6 after structural relaxation (GGA-PBE). Values from VASP.

## Properties
* space-group type: No. 1
* M_tot: 0.00 μB/f.u.
* final energy: -3.182 eV/atom
* ρ: 3.6 g/cm3

The structure in Quantum ESPRESSO input format:
```
&SYSTEM
  ibrav = 0, nat = 9, ntyp = 4
/
ATOMIC_SPECIES
Cl 35.45 Cl.upf
Tl 204.38 Tl.upf
Co 58.93 Co.upf
H 1.01 H.upf
CELL_PARAMETERS angstrom
-2.899 3.862 -4.265
-5.107 3.959 1.577
3.152 4.900 2.211
ATOMIC_POSITIONS crystal
Cl 0.588 0.013 0.314
Cl 0.325 0.008 0.734
Cl 0.028 0.595 0.683
Cl 0.992 0.375 0.277
Cl 0.615 0.288 0.689
Cl 0.333 0.584 0.244
Tl 0.973 0.061 0.044
Co 0.312 0.305 0.491
H 0.834 0.771 0.525
```



Entry from the Alexandria database: BaTcTe2 after structural relaxation (GGA-PBE). Values from VASP.

## Properties
* space-group type: No. 10
* raw formation energy: -0.30 eV/atom
* M_tot: 3.02 μB/f.u.
* final energy: -4.943 eV/atom
* distance to the lowest polymorph of the same formula: 0.844 eV/f.u.
* ρ: 6.0 g/cm3

The structure in Quantum ESPRESSO input format:
```
&SYSTEM
  ibrav = 0, nat = 4, ntyp = 3
/
ATOMIC_SPECIES
Tc 98.00 Tc.upf
Te 127.60 Te.upf
Ba 137.33 Ba.upf
CELL_PARAMETERS angstrom
4.087 0.000 0.000
0.000 4.560 0.082
0.000 1.112 7.318
ATOMIC_POSITIONS crystal
Tc 0.500 0.750 0.750
Te 0.000 0.830 0.984
Te 0.000 0.670 0.516
Ba 0.500 0.250 0.250
```



Entry from the Alexandria database: Be2AuBr after structural relaxation (GGA-PBE). Values from VASP.

## Properties
* space-group type: No. 225
* raw formation energy: 0.83 eV/atom
* M_tot: 0.00 μB/f.u.
* final energy: -2.274 eV/atom
* distance to the lowest polymorph of the same formula: 3.892 eV/f.u.
* ρ: 7.8 g/cm3

The structure in Quantum ESPRESSO input format:
```
&SYSTEM
  ibrav = 0, nat = 4, ntyp = 3
/
ATOMIC_SPECIES
Be 9.01 Be.upf
Br 79.90 Br.upf
Au 196.97 Au.upf
CELL_PARAMETERS angstrom
2.556 -0.843 3.558
-1.115 -3.269 2.824
2.435 -3.735 0.163
ATOMIC_POSITIONS crystal
Be 0.750 0.750 0.750
Be 0.250 0.250 0.250
Br 0.000 0.000 0.000
Au 0.500 0.500 0.500
```



Look up the M_tot of the third one.
0.00 μB/f.u.



final energy of number 3 (LaIn3Cl)?
-3.101 eV/atom